Record 1
DFT (SCAN) results for a crystal of Al2TlIrW relaxed with PBEsol.

**Symmetry**: P4/mmm (123)
**Crystal system**: tetragonal
**Energy of formation from the pure elements**: 905 meV/atom

Cell and atoms, written as POSCAR:
```
Al2TlIrW
1.0
4.7031 0.0000 0.0000
0.0000 4.9648 0.0000
0.0000 0.0000 4.9648
Tl Ir Al W
1 1 2 1
Direct
0.5000 0.5000 0.5000
0.5000 0.0000 0.0000
0.0000 0.0000 0.5000
0.0000 0.5000 0.0000
0.0000 0.0000 0.0000
```

Record 2
DFT (SCAN) results for a crystal of LiZn3W relaxed with PBEsol.

**Symmetry**: Pm-3m (221)
**Crystal system**: cubic
**Energy of formation from the pure elements**: 885 meV/atom

Cell and atoms, written as POSCAR:
```
LiZn3W
1.0
-3.2769 -2.3054 -0.7535
-0.3876 -0.7526 3.9880
-2.3942 3.2771 0.3857
Zn W Li
3 1 1
Direct
0.0000 0.5000 0.0000
0.0000 0.0000 0.5000
0.5000 0.0000 0.0000
0.5000 0.5000 0.5000
0.0000 0.0000 0.0000
```

Record 3
DFT (SCAN) results for a crystal of ZrPRu2 relaxed with PBEsol.

**Symmetry**: P4/mmm (123)
**Crystal system**: tetragonal
**Energy of formation from the pure elements**: -520 meV/atom

Cell and atoms, written as POSCAR:
```
ZrPRu2
1.0
-3.2582 0.6481 -0.6282
-1.0836 -2.2972 3.2503
0.1962 3.3337 2.4215
P Ru Zr
1 2 1
Direct
0.5000 0.0000 0.0000
0.0000 0.0000 0.5000
0.0000 0.5000 0.0000
0.5000 0.5000 0.5000
```

Record 4
DFT (SCAN) results for a crystal of Ho2Nb2S7O30 relaxed with PBEsol.

**Symmetry**: P-42_1m (113)
**Formation energy from raw total energies**: -1.983 eV/atom
**Crystal system**: tetragonal

Cell and atoms, written as POSCAR:
```
Ho2Nb2S7O30
1.0
7.0035 0.0000 0.0000
0.0000 12.6622 0.0000
0.0000 0.0000 12.6622
Ho Nb S O
4 4 14 60
Direct
0.4068 0.1963 0.3037
0.5932 0.3037 0.8037
0.4068 0.8037 0.6963
0.5932 0.6963 0.1963
0.0209 0.3601 0.1399
0.9791 0.1399 0.6399
0.0209 0.6399 0.8601
0.9791 0.8601 0.3601
0.6541 0.5000 0.0000
0.3459 0.0000 0.5000
0.1100 0.6238 0.1238
0.8900 0.8762 0.6238
0.1100 0.3762 0.8762
0.8900 0.1238 0.3762
0.6933 0.4347 0.3231
0.3067 0.0653 0.8231
0.6933 0.5653 0.6769
0.3067 0.9347 0.1769
0.3067 0.3231 0.5653
0.6933 0.1769 0.0653
0.3067 0.6769 0.4347
0.6933 0.8231 0.9347
0.2106 0.2947 0.2053
0.7894 0.2053 0.7053
0.2106 0.7053 0.7947
0.7894 0.7947 0.2947
0.5375 0.4320 0.9320
0.4625 0.0680 0.4320
0.5375 0.5680 0.0680
0.4625 0.9320 0.5680
0.7782 0.4329 0.0671
0.2218 0.0671 0.5671
0.7782 0.5671 0.9329
0.2218 0.9329 0.4329
0.9194 0.6551 0.1551
0.0806 0.8449 0.6551
0.9194 0.3449 0.8449
0.0806 0.1551 0.3449
0.2627 0.6790 0.1790
0.7373 0.8210 0.6790
0.2627 0.3210 0.8210
0.7373 0.1790 0.3210
0.1379 0.5078 0.1434
0.8621 0.9922 0.6434
0.1379 0.4922 0.8566
0.8621 0.0078 0.3566
0.8621 0.1434 0.4922
0.1379 0.3566 0.9922
0.8621 0.8566 0.5078
0.1379 0.6434 0.0078
0.5381 0.3654 0.2874
0.4619 0.1346 0.7874
0.5381 0.6346 0.7126
0.4619 0.8654 0.2126
0.4619 0.2874 0.6346
0.5381 0.2126 0.1346
0.4619 0.7126 0.3654
0.5381 0.7874 0.8654
0.6640 0.5432 0.2872
0.3360 0.9568 0.7872
0.6640 0.4568 0.7128
0.3360 0.0432 0.2128
0.3360 0.2872 0.4568
0.6640 0.2128 0.9568
0.3360 0.7128 0.5432
0.6640 0.7872 0.0432
0.7161 0.4253 0.4372
0.2839 0.0747 0.9372
0.7161 0.5747 0.5628
0.2839 0.9253 0.0628
0.2839 0.4372 0.5747
0.7161 0.0628 0.0747
0.2839 0.5628 0.4253
0.7161 0.9372 0.9253
0.8784 0.3941 0.2724
0.1216 0.1059 0.7724
0.8784 0.6059 0.7276
0.1216 0.8941 0.2276
0.1216 0.2724 0.6059
0.8784 0.2276 0.1059
0.1216 0.7276 0.3941
0.8784 0.7724 0.8941
```

Record 5
DFT (SCAN) results for a crystal of TiTe2PbN relaxed with PBEsol.

**Symmetry**: P4/mmm (123)
**Formation energy from raw total energies**: -0.220 eV/atom
**Crystal system**: tetragonal

Cell and atoms, written as POSCAR:
```
TiTe2PbN
1.0
3.7528 0.0000 0.0000
0.0000 5.5997 0.0000
0.0000 0.0000 5.5997
Pb N Te Ti
1 1 2 1
Direct
0.5000 0.5000 0.5000
0.5000 0.0000 0.0000
0.0000 0.0000 0.5000
0.0000 0.5000 0.0000
0.0000 0.0000 0.0000
```

Record 6
DFT (SCAN) results for a crystal of Ni3TeIr relaxed with PBEsol.

**Symmetry**: Pm-3m (221)
**Formation energy from raw total energies**: 1.437 eV/atom
**Crystal system**: cubic

Cell and atoms, written as POSCAR:
```
Ni3TeIr
1.0
-2.0984 -3.0856 2.4141
-2.2891 -1.2568 -3.5962
3.1794 -2.9413 -0.9958
Ni Ir Te
3 1 1
Direct
0.0000 0.5000 0.0000
0.0000 0.0000 0.5000
0.5000 0.0000 0.0000
0.5000 0.5000 0.5000
0.0000 0.0000 0.0000
```

Record 7
DFT (SCAN) results for a crystal of La2Cu relaxed with PBEsol.

**Symmetry**: I4/mcm (140)
**Crystal system**: tetragonal
**Energy of formation from the pure elements**: -67 meV/atom

Cell and atoms, written as POSCAR:
```
La2Cu
1.0
-5.2018 2.3736 1.6065
1.5712 -5.2065 2.3870
4.1170 3.8676 1.8346
Cu La
2 4
Direct
0.7500 0.7500 0.0000
0.2500 0.2500 0.0000
0.3306 0.1694 0.5000
0.6694 0.8306 0.5000
0.8306 0.3306 0.1612
0.1694 0.6694 0.8388
```

Record 8
DFT (SCAN) results for a crystal of AlFeSe2 relaxed with PBEsol.

**Symmetry**: Cm (8)
**Formation energy from raw total energies**: -0.118 eV/atom
**Crystal system**: monoclinic

Cell and atoms, written as POSCAR:
```
AlFeSe2
1.0
2.9399 0.0000 0.0000
-1.4700 4.2670 0.0337
0.0000 -1.7620 5.9843
Fe Se Al
1 2 1
Direct
0.2668 0.5337 0.6648
0.9361 0.8721 0.9043
0.7716 0.5433 0.3551
0.5255 0.0509 0.5758
```

Record 9
DFT (SCAN) results for a crystal of NaMgAsC2 relaxed with PBEsol.

**Symmetry**: P4/mmm (123)
**Crystal system**: tetragonal
**Energy of formation from the pure elements**: 1940 meV/atom

Cell and atoms, written as POSCAR:
```
NaMgAsC2
1.0
-2.8931 -2.4560 1.4353
1.7495 0.0781 3.6599
-2.7936 4.0211 1.2495
C Na As Mg
2 1 1 1
Direct
0.0000 0.5000 0.0000
0.5000 0.0000 0.0000
0.0000 0.0000 0.5000
0.0000 0.0000 0.0000
0.5000 0.5000 0.5000
```

Record 10
DFT (SCAN) results for a crystal of Ta2TcAs relaxed with PBEsol.

**Symmetry**: Cmmm (65)
**Crystal system**: orthorhombic
**Energy of formation from the pure elements**: -197 meV/atom

Cell and atoms, written as POSCAR:
```
Ta2TcAs
1.0
3.1581 0.0000 0.0000
0.0000 4.5678 -0.0007
0.0000 -1.1589 4.4183
As Tc Ta
1 1 2
Direct
0.5000 0.5000 0.5000
0.5000 0.0000 0.0000
0.0000 0.5000 0.0000
0.0000 0.0000 0.5000
```

Record 11
DFT (SCAN) results for a crystal of ScP2Cl relaxed with PBEsol.

**Symmetry**: P4/mmm (123)
**Formation energy from raw total energies**: -0.650 eV/atom
**Crystal system**: tetragonal

Cell and atoms, written as POSCAR:
```
ScP2Cl
1.0
-0.9195 -1.3105 -3.1397
-0.6272 -3.1314 1.4907
-4.9779 1.4108 0.8690
Cl P Sc
1 2 1
Direct
0.0000 0.0000 0.5000
0.0000 0.5000 0.0000
0.5000 0.0000 0.0000
0.5000 0.5000 0.5000
```

Record 12
DFT (SCAN) results for a crystal of Ta5Mo relaxed with PBEsol.

**Symmetry**: P-1 (2)
**Crystal system**: triclinic
**Energy of formation from the pure elements**: -48 meV/atom

Cell and atoms, written as POSCAR:
```
Ta5Mo
1.0
-0.8775 2.4282 1.1770
-5.2642 -0.3302 -1.0008
-2.4866 -2.7053 6.0278
Mo Ta
1 5
Direct
0.0000 0.0000 0.0000
0.8426 0.8349 0.6705
0.6796 0.6706 0.3290
0.5000 0.5000 0.0000
0.3204 0.3294 0.6710
0.1574 0.1651 0.3295
```

Record 13
DFT (SCAN) results for a crystal of BaCr2Mo relaxed with PBEsol.

**Symmetry**: P4mm (99)
**Crystal system**: tetragonal
**Energy of formation from the pure elements**: 793 meV/atom

Cell and atoms, written as POSCAR:
```
BaCr2Mo
1.0
3.0268 0.0871 0.0000
-0.0845 3.0268 0.0000
0.0000 0.0000 8.1226
Ba Cr Mo
1 2 1
Direct
0.5000 0.5000 0.2442
0.0000 0.0000 0.9092
0.5000 0.5000 0.7593
0.0000 0.0000 0.5872
```

Record 14
DFT (SCAN) results for a crystal of MgTcRu2 relaxed with PBEsol.

**Symmetry**: R-3m (166)
**Crystal system**: trigonal
**Energy of formation from the pure elements**: 82 meV/atom

Cell and atoms, written as POSCAR:
```
MgTcRu2
1.0
-2.1305 1.7274 0.0970
-1.0637 0.7323 2.4217
4.4853 7.6439 1.2139
Mg Ru Tc
1 2 1
Direct
0.0000 0.0000 0.0000
0.2457 0.2457 0.2628
0.7543 0.7543 0.7372
0.5000 0.5000 0.5000
```

Record 15
DFT (SCAN) results for a crystal of Tc4SbBr relaxed with PBEsol.

**Symmetry**: F-43m (216)
**Formation energy from raw total energies**: 1.010 eV/atom
**Crystal system**: cubic

Cell and atoms, written as POSCAR:
```
Tc4SbBr
1.0
5.2166 0.0000 0.0000
2.6083 4.5177 0.0000
2.6083 1.5059 4.2593
Br Sb Tc
1 1 4
Direct
0.7500 0.7500 0.7500
0.0000 0.0000 0.0000
0.3749 0.3749 0.3749
0.3749 0.3749 0.8754
0.8754 0.3749 0.3749
0.3749 0.8754 0.3749
```

Record 16
DFT (SCAN) results for a crystal of CdNi relaxed with PBEsol.

**Symmetry**: P4/nmm (129)
**Crystal system**: tetragonal
**Energy of formation from the pure elements**: 113 meV/atom

Cell and atoms, written as POSCAR:
```
CdNi
1.0
2.9182 0.0000 0.0000
0.0000 2.9182 0.0000
0.0000 0.0000 6.9771
Ni Cd
2 2
Direct
0.5000 0.0000 0.5876
0.0000 0.5000 0.4124
0.5000 0.0000 0.1678
0.0000 0.5000 0.8322
```

Record 17
DFT (SCAN) results for a crystal of BeNbH relaxed with PBEsol.

**Symmetry**: Cmcm (63)
**Crystal system**: orthorhombic

Cell and atoms, written as POSCAR:
```
BeNbH
1.0
-2.7083 1.6266 -1.3293
-2.1178 -2.2559 1.5544
1.1702 1.9346 4.4021
Be Nb H
2 2 2
Direct
0.0630 0.2500 0.1260
0.9370 0.7500 0.8740
0.3547 0.2500 0.7095
0.6453 0.7500 0.2905
0.7470 0.2500 0.4939
0.2530 0.7500 0.5061
```

Record 18
DFT (SCAN) results for a crystal of HgPb2W relaxed with PBEsol.

**Symmetry**: Imm2 (44)
**Crystal system**: orthorhombic
**Energy of formation from the pure elements**: 680 meV/atom

Cell and atoms, written as POSCAR:
```
HgPb2W
1.0
2.9795 0.0000 0.0000
0.0000 4.8026 0.0000
-1.4898 -2.4013 6.8656
Hg Pb W
1 2 1
Direct
0.1846 0.1846 0.3692
0.0038 0.5038 0.0077
0.8093 0.8093 0.6186
0.5023 0.0023 0.0045
```

Record 19
DFT (SCAN) results for a crystal of Cr2ReNi relaxed with PBEsol.

**Symmetry**: F-43m (216)
**Crystal system**: cubic
**Energy of formation from the pure elements**: 101 meV/atom

Cell and atoms, written as POSCAR:
```
Cr2ReNi
1.0
-1.3216 2.7735 2.6983
-3.3192 -0.7675 2.2614
0.3767 -0.7073 4.0097
Cr Ni Re
2 1 1
Direct
0.0000 0.0000 0.0000
0.7500 0.7500 0.7500
0.5000 0.5000 0.5000
0.2500 0.2500 0.2500
```

Record 20
DFT (SCAN) results for a crystal of CrTcIr2 relaxed with PBEsol.

**Symmetry**: Pmm2 (25)
**Crystal system**: orthorhombic
**Energy of formation from the pure elements**: -348 meV/atom

Cell and atoms, written as POSCAR:
```
CrTcIr2
1.0
2.6842 0.0000 0.0000
0.0000 4.2504 0.0000
0.0000 0.0000 4.6668
Cr Ir Tc
1 2 1
Direct
0.5000 0.5000 0.2107
0.0000 0.0000 0.0514
0.0000 0.5000 0.7017
0.5000 0.0000 0.5362
```

Record 21
DFT (SCAN) results for a crystal of GeBiSe2 relaxed with PBEsol.

**Symmetry**: R-3m (166)
**Formation energy from raw total energies**: 0.145 eV/atom
**Crystal system**: trigonal

Cell and atoms, written as POSCAR:
```
GeBiSe2
1.0
3.9204 0.0000 0.0000
1.9602 3.3951 0.0000
1.9602 1.1317 8.7918
Ge Bi Se
1 1 2
Direct
0.0000 0.0000 0.0000
0.5000 0.5000 0.5000
0.9018 0.9018 0.2947
0.0982 0.0982 0.7053
```

Record 22
DFT (SCAN) results for a crystal of Fe3O2F4 relaxed with PBEsol.

**Symmetry**: Cmmm (65)
**Formation energy from raw total energies**: -2.076 eV/atom
**Crystal system**: orthorhombic

Cell and atoms, written as POSCAR:
```
Fe3O2F4
1.0
-2.5738 1.2144 -0.7517
-1.7299 0.2876 6.3876
5.0522 9.1731 -2.4793
Fe O F
6 4 8
Direct
0.0000 0.3255 0.6510
0.5000 0.8271 0.6542
0.0000 0.6745 0.3490
0.5000 0.5000 0.0000
0.5000 0.1729 0.3458
0.0000 0.0000 0.0000
0.5000 0.7359 0.4718
0.5000 0.2641 0.5282
0.0000 0.3107 0.0000
0.0000 0.6893 0.0000
0.0000 0.0446 0.6841
0.0000 0.9554 0.3159
0.0000 0.6394 0.6841
0.5000 0.6050 0.2099
0.0000 0.3606 0.3159
0.5000 0.3950 0.7901
0.5000 0.0685 0.1370
0.5000 0.9315 0.8630
```

Record 23
DFT (SCAN) results for a crystal of Ho5Mg relaxed with PBEsol.

**Symmetry**: Amm2 (38)
**Crystal system**: orthorhombic
**Energy of formation from the pure elements**: 6 meV/atom

Cell and atoms, written as POSCAR:
```
Ho5Mg
1.0
3.4817 0.0000 0.0000
0.0000 5.4831 0.0000
-1.7409 0.0000 8.9375
Mg Ho
1 5
Direct
0.2219 0.0000 0.4438
0.0018 0.5000 0.0035
0.6704 0.5000 0.3407
0.3329 0.5000 0.6657
0.5534 0.0000 0.1068
0.8864 0.0000 0.7727
```

Record 24
DFT (SCAN) results for a crystal of SiTc2Hg relaxed with PBEsol.

**Symmetry**: Amm2 (38)
**Formation energy from raw total energies**: 0.318 eV/atom
**Crystal system**: orthorhombic

Cell and atoms, written as POSCAR:
```
SiTc2Hg
1.0
2.9131 0.0000 -0.0012
0.0000 4.1934 0.0000
-1.4520 0.0000 5.0449
Hg Si Tc
1 1 2
Direct
0.0707 0.0000 0.5169
0.7036 0.5000 0.7815
0.8108 0.0000 0.9965
0.4149 0.5000 0.2051
```

| no. | raw total energy (eV/cell) |
| --- | --- |
| 1 | -224.12 |
| 2 | -108.20 |
| 3 | -112.83 |
| 4 | -999.73 |
| 5 | -176.71 |
| 6 | -149.68 |
| 7 | -203.22 |
| 8 | -66.51 |
| 9 | -39.88 |
| 10 | -189.21 |
| 11 | -45.61 |
| 12 | -368.09 |
| 13 | -108.03 |
| 14 | -109.36 |
| 15 | -190.90 |
| 16 | -92.72 |
| 17 | -84.03 |
| 18 | -286.69 |
| 19 | -123.64 |
| 20 | -197.04 |
| 21 | -137.25 |
| 22 | -199.40 |
| 23 | -249.88 |
| 24 | -147.03 |